i | Ta4FeRe | GGA-PBE | relaxed

Cell lengths 6.072, 6.072, 6.151 Å; angles 90.00, 90.09, 90.00 degrees
Positions (direct):
Ta: 0.250 0.250 0.241
Ta: 0.250 0.250 0.759
Ta: 0.250 0.750 0.241
Ta: 0.250 0.750 0.759
Ta: 0.750 0.250 0.241
Ta: 0.750 0.250 0.759
Ta: 0.750 0.750 0.241
Ta: 0.750 0.750 0.759
Fe: 0.000 0.000 0.000
Fe: 0.500 0.500 0.000
Re: 0.000 0.500 0.500
Re: 0.500 0.000 0.500

Computed properties:
* M_tot: 0.00 μB/cell
* calculated volume: 226.8 Å³ per cell



ii | Ta4FeRe | GGA-PBE | relaxed

Cell lengths 5.324, 5.324, 5.324 Å; angles 60.00, 60.00, 60.00 degrees
Positions (direct):
Ta: 0.376 0.376 0.376
Ta: 0.376 0.376 0.873
Ta: 0.376 0.873 0.376
Ta: 0.873 0.376 0.376
Fe: 0.000 0.000 0.000
Re: 0.750 0.750 0.750

Computed properties:
* M_tot: 3.14 μB/cell
* calculated volume: 106.7 Å³ per cell



Which of them is the most stable? Correct choice: i.



i | TaTiFeRe | GGA-PBE | relaxed

Cell lengths 3.111, 3.111, 6.138 Å; angles 90.00, 90.00, 90.00 degrees
Positions (direct):
Ta: 0.000 0.000 0.000
Ti: 0.000 0.000 0.513
Fe: 0.500 0.500 0.756
Re: 0.500 0.500 0.262

Computed properties:
* M_tot: 0.24 μB/cell
* calculated volume: 59.4 Å³ per cell



ii | TaTiFeRe | GGA-PBE | relaxed

Cell lengths 6.195, 6.195, 6.195 Å; angles 90.00, 90.00, 90.00 degrees
Positions (direct):
Ta: 0.000 0.000 0.000
Ta: 0.000 0.500 0.500
Ta: 0.500 0.000 0.500
Ta: 0.500 0.500 0.000
Ti: 0.000 0.000 0.500
Ti: 0.000 0.500 0.000
Ti: 0.500 0.000 0.000
Ti: 0.500 0.500 0.500
Fe: 0.250 0.250 0.250
Fe: 0.250 0.750 0.750
Fe: 0.750 0.250 0.750
Fe: 0.750 0.750 0.250
Re: 0.250 0.250 0.750
Re: 0.250 0.750 0.250
Re: 0.750 0.250 0.250
Re: 0.750 0.750 0.750

Computed properties:
* M_tot: 0.00 μB/cell
* calculated volume: 237.7 Å³ per cell



Which of them is the most stable? Correct choice: ii.



i | TbFeRe | GGA-PBE | relaxed

Cell lengths 9.623, 5.373, 4.871 Å; angles 90.00, 119.84, 90.00 degrees
Positions (direct):
Tb: 0.122 0.000 0.371
Tb: 0.378 0.500 0.629
Tb: 0.622 0.500 0.371
Tb: 0.878 0.000 0.629
Fe: 0.008 0.500 0.257
Fe: 0.492 0.000 0.743
Fe: 0.508 0.000 0.257
Fe: 0.992 0.500 0.743
Re: 0.250 0.250 0.000
Re: 0.250 0.750 0.000
Re: 0.750 0.250 0.000
Re: 0.750 0.750 0.000

Computed properties:
* M_tot: 9.33 μB/cell
* calculated volume: 218.5 Å³ per cell



ii | TbFeRe | GGA-PBE | relaxed

Cell lengths 5.157, 5.352, 7.653 Å; angles 90.00, 90.00, 90.00 degrees
Positions (direct):
Tb: 0.000 0.250 0.124
Tb: 0.000 0.750 0.876
Tb: 0.500 0.250 0.376
Tb: 0.500 0.750 0.624
Fe: 0.000 0.000 0.500
Fe: 0.000 0.500 0.500
Fe: 0.500 0.000 0.000
Fe: 0.500 0.500 0.000
Re: 0.250 0.250 0.750
Re: 0.250 0.750 0.250
Re: 0.750 0.250 0.750
Re: 0.750 0.750 0.250

Computed properties:
* M_tot: 7.16 μB/cell
* calculated volume: 211.2 Å³ per cell



Which of them is the most stable? Correct choice: ii.



i | FeRe3Tc | GGA-PBE | relaxed

Cell lengths 4.604, 4.604, 4.604 Å; angles 90.00, 90.00, 90.00 degrees
Positions (direct):
Fe: 0.000 0.000 0.000
Re: 0.000 0.500 0.500
Re: 0.500 0.000 0.500
Re: 0.500 0.500 0.000
Tc: 0.500 0.500 0.500

Computed properties:
* M_tot: 0.00 μB/cell
* calculated volume: 97.6 Å³ per cell



ii | FeRe3Tc | GGA-PBE | relaxed

Cell lengths 4.131, 4.131, 5.043 Å; angles 90.00, 90.00, 90.00 degrees
Positions (direct):
Fe: 0.000 0.000 0.000
Re: 0.000 0.000 0.432
Re: 0.000 0.500 0.753
Re: 0.500 0.000 0.753
Tc: 0.500 0.500 0.445

Computed properties:
* M_tot: 0.00 μB/cell
* calculated volume: 86.0 Å³ per cell



Which of them is the most stable? Correct choice: ii.